No. 1
# AgBi12Pd7 | Alexandria | GGA-PBE | optimized geometry
data_AgBi12Pd7
_cell_length_a 14.4691
_cell_length_b 14.4691
_cell_length_c 8.3497
_cell_angle_alpha 90.00
_cell_angle_beta 90.00
_cell_angle_gamma 120.00
_symmetry_space_group_name_H-M 'R -3'
_symmetry_Int_Tables_number 148
_symmetry_space_group_name_Hall '-R 3'
loop_
_atom_site_label
_atom_site_type_symbol
_atom_site_fract_x
_atom_site_fract_y
_atom_site_fract_z
Ag1 Ag 0.0000 0.0000 0.0000
Bi1 Bi 0.0450 0.8275 0.3933
Bi2 Bi 0.0601 0.2561 0.9803
Pd1 Pd 0.0000 0.0000 0.5000
Pd2 Pd 0.0331 0.8714 0.7438
# Magnetization in μB per formula unit: 0.00
# Energy of formation in eV/atom: -0.14
# V in Å³/atom: 25.2
# DFT total energy in eV/atom: -4.433

No. 2
# TbCe2Pm8 | Alexandria | GGA-PBE | optimized geometry
data_TbCe2Pm8
_cell_length_a 5.609
_cell_length_b 8.328
_cell_length_c 16.005
_cell_angle_alpha 90.00
_cell_angle_beta 90.00
_cell_angle_gamma 90.00
_symmetry_space_group_name_H-M 'I m m m'
_symmetry_Int_Tables_number 71
_symmetry_space_group_name_Hall '-I 2 2'
loop_
_atom_site_label
_atom_site_type_symbol
_atom_site_fract_x
_atom_site_fract_y
_atom_site_fract_z
Tb1 Tb 0.000 0.000 0.000
Ce1 Ce 0.000 0.000 0.299
Pm1 Pm 0.000 0.203 0.500
Pm2 Pm 0.000 0.294 0.139
Pm3 Pm 0.000 0.500 0.342
# Magnetization in μB per formula unit: 1.53
# Energy of formation in eV/atom: 0.16
# V in Å³/atom: 34.0
# DFT total energy in eV/atom: -4.800

No. 3
# Tb6Pm2HoTm3 | Alexandria | GGA-PBE | optimized geometry
data_Tb6Pm2HoTm3
_cell_length_a 6.158
_cell_length_b 10.657
_cell_length_c 11.773
_cell_angle_alpha 90.00
_cell_angle_beta 99.99
_cell_angle_gamma 90.00
_symmetry_space_group_name_H-M 'C 1 2/m 1'
_symmetry_Int_Tables_number 12
_symmetry_space_group_name_Hall '-C 2y'
loop_
_atom_site_label
_atom_site_type_symbol
_atom_site_fract_x
_atom_site_fract_y
_atom_site_fract_z
Tb1 Tb 0.248 0.000 0.246
Tb2 Tb 0.249 0.334 0.246
Pm1 Pm 0.000 0.333 0.500
Ho1 Ho 0.000 0.000 0.500
Tm1 Tm 0.000 0.166 0.000
Tm2 Tm 0.000 0.500 0.000
# Magnetization in μB per formula unit: 0.00
# Energy of formation in eV/atom: 0.02
# V in Å³/atom: 31.7
# DFT total energy in eV/atom: -4.588

No. 4
# CsThSe3 | Alexandria | GGA-PBE | optimized geometry
data_CsThSe3
_cell_length_a 5.754
_cell_length_b 5.754
_cell_length_c 5.754
_cell_angle_alpha 90.00
_cell_angle_beta 90.00
_cell_angle_gamma 90.00
_symmetry_space_group_name_H-M 'P m -3 m'
_symmetry_Int_Tables_number 221
_symmetry_space_group_name_Hall '-P 4 2 3'
loop_
_atom_site_label
_atom_site_type_symbol
_atom_site_fract_x
_atom_site_fract_y
_atom_site_fract_z
Cs1 Cs 0.000 0.000 0.000
Th1 Th 0.500 0.500 0.500
Se1 Se 0.000 0.500 0.500
# Magnetization in μB per formula unit: 0.00
# Uncorrected formation energy in eV/atom: -1.36
# V in Å³/atom: 38.1
# DFT total energy in eV/atom: -5.108

No. 5
# CeHo3Co2 | Alexandria | GGA-PBE | optimized geometry
data_CeHo3Co2
_cell_length_a 16.508
_cell_length_b 3.682
_cell_length_c 11.570
_cell_angle_alpha 90.00
_cell_angle_beta 125.24
_cell_angle_gamma 90.00
_symmetry_space_group_name_H-M 'C 1 2/m 1'
_symmetry_Int_Tables_number 12
_symmetry_space_group_name_Hall '-C 2y'
loop_
_atom_site_label
_atom_site_type_symbol
_atom_site_fract_x
_atom_site_fract_y
_atom_site_fract_z
Ce1 Ce 0.165 0.000 0.263
Ho1 Ho 0.080 0.500 0.442
Ho2 Ho 0.083 0.500 0.944
Ho3 Ho 0.155 0.000 0.749
Co1 Co 0.234 0.000 0.049
Co2 Co 0.239 0.000 0.572
# Magnetization in μB per formula unit: 0.00
# Energy of formation in eV/atom: -0.17
# V in Å³/atom: 23.9
# DFT total energy in eV/atom: -5.815

No. 6
# SmPu2Cu2Ge2 | Alexandria | GGA-PBE | optimized geometry
data_SmPu2Cu2Ge2
_cell_length_a 4.0393
_cell_length_b 4.0393
_cell_length_c 27.0840
_cell_angle_alpha 90.00
_cell_angle_beta 90.00
_cell_angle_gamma 120.00
_symmetry_space_group_name_H-M 'R -3 m'
_symmetry_Int_Tables_number 166
_symmetry_space_group_name_Hall '-R 3 2"'
loop_
_atom_site_label
_atom_site_type_symbol
_atom_site_fract_x
_atom_site_fract_y
_atom_site_fract_z
Sm1 Sm 0.0000 0.0000 0.0000
Pu1 Pu 0.0000 0.0000 0.1513
Cu1 Cu 0.0000 0.0000 0.4144
Ge1 Ge 0.0000 0.0000 0.2595
# Magnetization in μB per formula unit: 0.00
# Energy of formation in eV/atom: -0.28
# V in Å³/atom: 18.2
# DFT total energy in eV/atom: -7.540

No. 7
# GdHoCu2 | Alexandria | GGA-PBE | optimized geometry
data_GdHoCu2
_cell_length_a 3.466
_cell_length_b 3.466
_cell_length_c 6.998
_cell_angle_alpha 90.00
_cell_angle_beta 90.00
_cell_angle_gamma 90.00
_symmetry_space_group_name_H-M 'P 4/m m m'
_symmetry_Int_Tables_number 123
_symmetry_space_group_name_Hall '-P 4 2'
loop_
_atom_site_label
_atom_site_type_symbol
_atom_site_fract_x
_atom_site_fract_y
_atom_site_fract_z
Gd1 Gd 0.000 0.000 0.000
Ho1 Ho 0.000 0.000 0.500
Cu1 Cu 0.500 0.500 0.262
# Magnetization in μB per formula unit: 7.22
# Energy of formation in eV/atom: -0.24
# V in Å³/atom: 21.0
# DFT total energy in eV/atom: -6.953

No. 8
# NaAlBP2H3O10 | Alexandria | GGA-PBE | optimized geometry
data_NaAlBP2H3O10
_cell_length_a 10.556
_cell_length_b 8.094
_cell_length_c 9.097
_cell_angle_alpha 90.00
_cell_angle_beta 116.83
_cell_angle_gamma 90.00
_symmetry_space_group_name_H-M 'C 1 2/c 1'
_symmetry_Int_Tables_number 15
_symmetry_space_group_name_Hall '-C 2yc'
loop_
_atom_site_label
_atom_site_type_symbol
_atom_site_fract_x
_atom_site_fract_y
_atom_site_fract_z
Na1 Na 0.000 0.133 0.250
Al1 Al 0.250 0.250 0.000
B1 B 0.000 0.465 0.750
P1 P 0.227 0.064 0.682
H1 H 0.004 0.312 0.570
H2 H 0.250 0.250 0.500
O1 O 0.067 0.362 0.901
O2 O 0.107 0.424 0.243
O3 O 0.165 0.199 0.545
O4 O 0.178 0.109 0.109
O5 O 0.181 0.097 0.816
# Magnetization in μB per formula unit: 0.00
# V in Å³/atom: 9.6
# DFT total energy in eV/atom: -6.681

No. 9
# TmHgPdRh | Alexandria | GGA-PBE | optimized geometry
data_TmHgPdRh
_cell_length_a 6.660
_cell_length_b 6.660
_cell_length_c 6.660
_cell_angle_alpha 90.00
_cell_angle_beta 90.00
_cell_angle_gamma 90.00
_symmetry_space_group_name_H-M 'F -4 3 m'
_symmetry_Int_Tables_number 216
_symmetry_space_group_name_Hall 'F -4 2 3'
loop_
_atom_site_label
_atom_site_type_symbol
_atom_site_fract_x
_atom_site_fract_y
_atom_site_fract_z
Tm1 Tm 0.000 0.000 0.000
Hg1 Hg 0.000 0.000 0.500
Pd1 Pd 0.250 0.250 0.750
Rh1 Rh 0.250 0.250 0.250
# Magnetization in μB per formula unit: 0.00
# Energy of formation in eV/atom: -0.63
# V in Å³/atom: 18.5
# DFT total energy in eV/atom: -4.958

No. 10
# Sm8Dy2Ga | Alexandria | GGA-PBE | optimized geometry
data_Sm8Dy2Ga
_cell_length_a 5.519
_cell_length_b 7.482
_cell_length_c 17.363
_cell_angle_alpha 90.00
_cell_angle_beta 90.00
_cell_angle_gamma 90.00
_symmetry_space_group_name_H-M 'I m m m'
_symmetry_Int_Tables_number 71
_symmetry_space_group_name_Hall '-I 2 2'
loop_
_atom_site_label
_atom_site_type_symbol
_atom_site_fract_x
_atom_site_fract_y
_atom_site_fract_z
Sm1 Sm 0.000 0.000 0.183
Sm2 Sm 0.000 0.236 0.368
Sm3 Sm 0.000 0.247 0.000
Dy1 Dy 0.000 0.500 0.192
Ga1 Ga 0.000 0.500 0.500
# Magnetization in μB per formula unit: 0.00
# Energy of formation in eV/atom: -0.02
# V in Å³/atom: 32.6
# DFT total energy in eV/atom: -4.561

No. 11
# UInTeSe | Alexandria | GGA-PBE | optimized geometry
data_UInTeSe
_cell_length_a 4.0256
_cell_length_b 4.0256
_cell_length_c 25.8049
_cell_angle_alpha 90.00
_cell_angle_beta 90.00
_cell_angle_gamma 120.00
_symmetry_space_group_name_H-M 'R 3 m'
_symmetry_Int_Tables_number 160
_symmetry_space_group_name_Hall 'R 3 -2"'
loop_
_atom_site_label
_atom_site_type_symbol
_atom_site_fract_x
_atom_site_fract_y
_atom_site_fract_z
U1 U 0.0000 0.0000 0.0000
In1 In 0.0000 0.0000 0.1596
Te1 Te 0.0000 0.0000 0.5869
Se1 Se 0.0000 0.0000 0.7350
# Magnetization in μB per formula unit: 3.00
# Uncorrected formation energy in eV/atom: -0.57
# V in Å³/atom: 30.2
# DFT total energy in eV/atom: -5.735

No. 12
# Ce2Si4NiPt3 | Alexandria | GGA-PBE | optimized geometry
data_Ce2Si4NiPt3
_cell_length_a 4.207
_cell_length_b 4.207
_cell_length_c 9.790
_cell_angle_alpha 90.00
_cell_angle_beta 90.00
_cell_angle_gamma 90.00
_symmetry_space_group_name_H-M 'P -4 m 2'
_symmetry_Int_Tables_number 115
_symmetry_space_group_name_Hall 'P -4 -2'
loop_
_atom_site_label
_atom_site_type_symbol
_atom_site_fract_x
_atom_site_fract_y
_atom_site_fract_z
Ce1 Ce 0.000 0.500 0.246
Si1 Si 0.000 0.000 0.500
Si2 Si 0.000 0.500 0.873
Si3 Si 0.500 0.500 0.500
Ni1 Ni 0.500 0.500 0.000
Pt1 Pt 0.000 0.000 0.000
Pt2 Pt 0.000 0.500 0.625
# Magnetization in μB per formula unit: 0.00
# Uncorrected formation energy in eV/atom: -1.04
# V in Å³/atom: 17.3
# DFT total energy in eV/atom: -6.782

No. 13
# SrTaHg2Cl | Alexandria | GGA-PBE | optimized geometry
data_SrTaHg2Cl
_cell_length_a 5.767
_cell_length_b 5.767
_cell_length_c 5.248
_cell_angle_alpha 90.00
_cell_angle_beta 90.00
_cell_angle_gamma 90.00
_symmetry_space_group_name_H-M 'P 4/m m m'
_symmetry_Int_Tables_number 123
_symmetry_space_group_name_Hall '-P 4 2'
loop_
_atom_site_label
_atom_site_type_symbol
_atom_site_fract_x
_atom_site_fract_y
_atom_site_fract_z
Sr1 Sr 0.000 0.000 0.000
Ta1 Ta 0.500 0.500 0.000
Hg1 Hg 0.000 0.500 0.500
Cl1 Cl 0.000 0.000 0.500
# Magnetization in μB per formula unit: 4.03
# Uncorrected formation energy in eV/atom: 0.72
# V in Å³/atom: 34.9
# DFT total energy in eV/atom: -2.479

No. 14
# Ba2AlO3 | Alexandria | GGA-PBE | optimized geometry
data_Ba2AlO3
_cell_length_a 3.352
_cell_length_b 19.768
_cell_length_c 6.231
_cell_angle_alpha 90.00
_cell_angle_beta 90.00
_cell_angle_gamma 90.00
_symmetry_space_group_name_H-M 'C m c m'
_symmetry_Int_Tables_number 63
_symmetry_space_group_name_Hall '-C 2c 2'
loop_
_atom_site_label
_atom_site_type_symbol
_atom_site_fract_x
_atom_site_fract_y
_atom_site_fract_z
Ba1 Ba 0.000 0.018 0.250
Ba2 Ba 0.000 0.195 0.250
Al1 Al 0.000 0.363 0.250
O1 O 0.000 0.185 0.750
O2 O 0.000 0.416 0.017
# Magnetization in μB per formula unit: 0.00
# Uncorrected formation energy in eV/atom: -2.30
# V in Å³/atom: 17.2
# DFT total energy in eV/atom: -6.044

No. 15
# CsK2CdPt | Alexandria | GGA-PBE | optimized geometry
data_CsK2CdPt
_cell_length_a 6.559
_cell_length_b 6.559
_cell_length_c 5.254
_cell_angle_alpha 90.00
_cell_angle_beta 90.00
_cell_angle_gamma 90.00
_symmetry_space_group_name_H-M 'P 4/m m m'
_symmetry_Int_Tables_number 123
_symmetry_space_group_name_Hall '-P 4 2'
loop_
_atom_site_label
_atom_site_type_symbol
_atom_site_fract_x
_atom_site_fract_y
_atom_site_fract_z
Cs1 Cs 0.000 0.000 0.000
K1 K 0.000 0.500 0.500
Cd1 Cd 0.500 0.500 0.500
Pt1 Pt 0.500 0.500 0.000
# Magnetization in μB per formula unit: 0.00
# Energy of formation in eV/atom: 0.11
# V in Å³/atom: 45.2
# DFT total energy in eV/atom: -1.888

No. 16
# LaTl3Te3 | Alexandria | GGA-PBE | optimized geometry
data_LaTl3Te3
_cell_length_a 8.0924
_cell_length_b 8.0924
_cell_length_c 30.4569
_cell_angle_alpha 90.00
_cell_angle_beta 90.00
_cell_angle_gamma 120.00
_symmetry_space_group_name_H-M 'R -3'
_symmetry_Int_Tables_number 148
_symmetry_space_group_name_Hall '-R 3'
loop_
_atom_site_label
_atom_site_type_symbol
_atom_site_fract_x
_atom_site_fract_y
_atom_site_fract_z
La1 La 0.0000 0.0000 0.1665
Tl1 Tl 0.0000 0.3212 0.6203
Te1 Te 0.0010 0.3523 0.4384
# Magnetization in μB per formula unit: 0.00
# Uncorrected formation energy in eV/atom: -0.75
# V in Å³/atom: 41.1
# DFT total energy in eV/atom: -3.810

No. 17
# Ca6Ag3Pd | Alexandria | GGA-PBE | optimized geometry
data_Ca6Ag3Pd
_cell_length_a 11.280
_cell_length_b 4.237
_cell_length_c 13.310
_cell_angle_alpha 90.00
_cell_angle_beta 110.28
_cell_angle_gamma 90.00
_symmetry_space_group_name_H-M 'P 1 21/m 1'
_symmetry_Int_Tables_number 11
_symmetry_space_group_name_Hall '-P 2yb'
loop_
_atom_site_label
_atom_site_type_symbol
_atom_site_fract_x
_atom_site_fract_y
_atom_site_fract_z
Ca1 Ca 0.019 0.250 0.379
Ca2 Ca 0.081 0.250 0.905
Ca3 Ca 0.255 0.750 0.329
Ca4 Ca 0.344 0.750 0.791
Ca5 Ca 0.351 0.750 0.114
Ca6 Ca 0.407 0.250 0.572
Ag1 Ag 0.145 0.250 0.157
Ag2 Ag 0.196 0.750 0.537
Ag3 Ag 0.407 0.250 0.969
Pd1 Pd 0.423 0.250 0.294
# Magnetization in μB per formula unit: 0.00
# Energy of formation in eV/atom: -0.31
# V in Å³/atom: 29.8
# DFT total energy in eV/atom: -2.888

No. 18
# CaInMo2 | Alexandria | GGA-PBE | optimized geometry
data_CaInMo2
_cell_length_a 3.562
_cell_length_b 4.538
_cell_length_c 4.823
_cell_angle_alpha 90.00
_cell_angle_beta 90.00
_cell_angle_gamma 90.00
_symmetry_space_group_name_H-M 'P m m m'
_symmetry_Int_Tables_number 47
_symmetry_space_group_name_Hall '-P 2 2'
loop_
_atom_site_label
_atom_site_type_symbol
_atom_site_fract_x
_atom_site_fract_y
_atom_site_fract_z
Ca1 Ca 0.000 0.000 0.000
In1 In 0.500 0.500 0.000
Mo1 Mo 0.000 0.500 0.500
Mo2 Mo 0.500 0.000 0.500
# Magnetization in μB per formula unit: 0.00
# Energy of formation in eV/atom: 0.57
# V in Å³/atom: 19.5
# DFT total energy in eV/atom: -6.031

No. 19
# PmNdDyTm2 | Alexandria | GGA-PBE | optimized geometry
data_PmNdDyTm2
_cell_length_a 6.400
_cell_length_b 16.620
_cell_length_c 6.395
_cell_angle_alpha 90.00
_cell_angle_beta 90.00
_cell_angle_gamma 90.00
_symmetry_space_group_name_H-M 'C m c m'
_symmetry_Int_Tables_number 63
_symmetry_space_group_name_Hall '-C 2c 2'
loop_
_atom_site_label
_atom_site_type_symbol
_atom_site_fract_x
_atom_site_fract_y
_atom_site_fract_z
Pm1 Pm 0.000 0.157 0.250
Nd1 Nd 0.000 0.343 0.250
Dy1 Dy 0.000 0.250 0.750
Tm1 Tm 0.250 0.000 0.000
# Magnetization in μB per formula unit: 0.00
# Energy of formation in eV/atom: 0.35
# V in Å³/atom: 34.0
# DFT total energy in eV/atom: -4.266

No. 20
# Mn2FeH2 | Alexandria | GGA-PBE | optimized geometry
data_Mn2FeH2
_cell_length_a 5.370
_cell_length_b 5.370
_cell_length_c 2.548
_cell_angle_alpha 90.00
_cell_angle_beta 90.00
_cell_angle_gamma 90.00
_symmetry_space_group_name_H-M 'P 4/m b m'
_symmetry_Int_Tables_number 127
_symmetry_space_group_name_Hall '-P 4 2ab'
loop_
_atom_site_label
_atom_site_type_symbol
_atom_site_fract_x
_atom_site_fract_y
_atom_site_fract_z
Mn1 Mn 0.134 0.366 0.000
Fe1 Fe 0.000 0.000 0.500
H1 H 0.179 0.679 0.500
# Magnetization in μB per formula unit: 0.72
# V in Å³/atom: 7.3
# DFT total energy in eV/atom: -6.512

No. 21
# CePm12Sn6 | Alexandria | GGA-PBE | optimized geometry
data_CePm12Sn6
_cell_length_a 14.1843
_cell_length_b 14.1843
_cell_length_c 11.4049
_cell_angle_alpha 90.00
_cell_angle_beta 90.00
_cell_angle_gamma 120.00
_symmetry_space_group_name_H-M 'R -3 m'
_symmetry_Int_Tables_number 166
_symmetry_space_group_name_Hall '-R 3 2"'
loop_
_atom_site_label
_atom_site_type_symbol
_atom_site_fract_x
_atom_site_fract_y
_atom_site_fract_z
Ce1 Ce 0.0000 0.0000 0.0000
Pm1 Pm 0.0000 0.3807 0.5000
Pm2 Pm 0.0881 0.1762 0.3493
Sn1 Sn 0.0293 0.5146 0.2639
# Magnetization in μB per formula unit: 2.94
# Energy of formation in eV/atom: -0.31
# V in Å³/atom: 34.9
# DFT total energy in eV/atom: -4.887